Entry 1:
This record from Alexandria describes a geometry-optimized KNa2TlF6 structure. The functional is PBE-GGA.

Results
As for the crystal system: trigonal. For the formation energy without anion corrections, the calculation gives -2433.4 meV/atom. The density comes out at 4.0 g/cm3.

Unit cell a=6.004 b=6.005 c=6.395 alpha=61.99 beta=61.99 gamma=59.98
Fractional positions:
F 0.709 0.162 0.766
K 0.802 0.802 0.594
Na 0.014 0.014 0.957
Tl 0.320 0.320 0.040
F 0.363 0.709 0.766
F 0.586 0.242 0.232
F 0.162 0.363 0.766
F 0.939 0.586 0.232
F 0.242 0.940 0.232
Na 0.523 0.523 0.430

---

Entry 2:
This record from Alexandria describes a geometry-optimized OsAu structure. The functional is PBE-GGA.

Results
As for the crystal system: orthorhombic. The density comes out at 19.3 g/cm3. The value obtained for the energy above the most stable polymorph in this dataset is 386 meV/atom. The formation energy is 670 meV per atom.

Unit cell a=5.704 b=5.704 c=5.704 alpha=151.71 beta=130.36 gamma=58.12
Fractional positions:
Os 0.729 0.229 0.500
Au 0.987 0.987 0.000
Os 0.521 0.521 0.000
Au 0.263 0.763 0.500

---

Entry 3:
This record from Alexandria describes a geometry-optimized TbCe2Si structure. The functional is PBE-GGA.

Results
As for the crystal system: trigonal. For the formation energy without anion corrections, the calculation gives 97.1 meV/atom. The density comes out at 6.5 g/cm3. The value obtained for the energy above the most stable polymorph in this dataset is 492 meV/atom.

Unit cell a=3.678 b=3.678 c=10.450 alpha=79.87 beta=79.87 gamma=60.00
Each line ends with the local moment (μB).
Fractional positions:
Ce 0.106 0.106 0.683  0.48
Si 0.500 0.500 0.500  -0.02
Tb 0.000 0.000 0.000  0.17
Ce 0.894 0.894 0.317  0.48

---

Entry 4:
This record from Alexandria describes a geometry-optimized TbHo2InC structure. The functional is PBE-GGA.

Results
As for the crystal system: tetragonal. The density comes out at 8.6 g/cm3. The formation energy is -507 meV per atom.

Unit cell a=4.953 b=4.896 c=4.896 alpha=90.00 beta=90.00 gamma=90.00
Fractional positions:
Ho 0.000 0.500 0.000
Ho 0.000 0.000 0.500
C 0.000 0.000 0.000
Tb 0.500 0.000 0.000
In 0.500 0.500 0.500